*A*
This record from the Alexandria database describes a geometry-optimized TlCuNi structure. The functional is PBE.

Cell and atoms, written as POSCAR:
```
TlCuNi
1.0
5.039 0.041 -0.046
3.991 3.077 -0.059
1.048 0.375 3.013
Cu Tl Ni
1 1 1
direct
0.979 0.979 0.021
0.669 0.669 0.331
0.352 0.352 0.648
```

Calculated values
The magnetization is 0.00 μB/cell.

=====

*B*
This record from the Alexandria database describes a geometry-optimized TlCuNi structure. The functional is PBE.

Cell and atoms, written as POSCAR:
```
TlCuNi
1.0
-1.239 -1.921 2.209
-1.055 -0.134 -2.996
3.974 -3.966 -1.221
Tl Cu Ni
1 1 1
direct
0.333 0.667 0.658
0.000 0.000 0.031
0.667 0.333 0.311
```

Calculated values
The magnetization is 0.00 μB/cell.

=====

Most stable one: *A*, least stable one: *B*.

=====

*A*
This record from the Alexandria database describes a geometry-optimized TlCuNi2 structure. The functional is PBE.

Cell and atoms, written as POSCAR:
```
TlCuNi2
1.0
4.533 -0.043 0.027
2.845 3.529 0.027
1.707 0.807 3.467
Tl Cu Ni
1 1 2
direct
0.750 0.750 0.750
0.250 0.250 0.250
0.500 0.500 0.500
0.000 0.000 0.000
```

Calculated values
The magnetization is 0.00 μB/cell.

=====

*B*
This record from the Alexandria database describes a geometry-optimized TlCuNi2 structure. The functional is PBE.

Cell and atoms, written as POSCAR:
```
TlCuNi2
1.0
-2.076 1.957 1.184
-2.364 -2.062 -0.736
-1.795 -4.515 4.315
Tl Cu Ni
1 1 2
direct
0.500 0.250 0.250
0.500 0.750 0.750
0.000 0.030 0.970
0.000 0.470 0.530
```

Calculated values
The magnetization is 0.00 μB/cell.

=====

Most stable one: *A*, least stable one: *B*.

=====

*A*
This record from the Alexandria database describes a geometry-optimized TmCu2Ni9 structure. The functional is PBE.

Cell and atoms, written as POSCAR:
```
TmCu2Ni9
1.0
4.693 0.000 0.000
0.000 7.975 0.000
0.000 0.000 7.975
Ni Cu Tm
18 4 2
direct
0.500 0.709 0.563
0.239 0.679 0.821
0.761 0.679 0.821
0.500 0.563 0.291
0.761 0.179 0.679
0.500 0.937 0.791
0.239 0.179 0.679
0.500 0.291 0.437
0.239 0.321 0.179
0.500 0.063 0.209
0.500 0.437 0.709
0.500 0.209 0.937
0.500 0.791 0.063
0.500 0.500 0.000
0.761 0.821 0.321
0.239 0.821 0.321
0.761 0.321 0.179
0.500 0.000 0.500
0.000 0.885 0.615
0.000 0.115 0.385
0.000 0.385 0.885
0.000 0.615 0.115
0.000 0.500 0.500
0.000 0.000 0.000
```

Calculated values
The magnetization is 8.04 μB/cell.

=====

*B*
This record from the Alexandria database describes a geometry-optimized TmCu2Ni9 structure. The functional is PBE.

Cell and atoms, written as POSCAR:
```
TmCu2Ni9
1.0
4.759 0.000 0.000
2.380 4.121 0.000
2.380 1.374 7.705
Ni Cu Tm
9 2 1
direct
0.411 0.411 0.259
0.589 0.589 0.741
0.666 0.666 0.002
0.411 0.919 0.259
0.081 0.589 0.741
0.500 0.500 0.500
0.919 0.411 0.259
0.334 0.334 0.998
0.589 0.081 0.741
0.147 0.147 0.559
0.853 0.853 0.441
0.000 0.000 0.000
```

Calculated values
The magnetization is 3.46 μB/cell.

=====

Most stable one: *A*, least stable one: *B*.

=====

*A*
This record from the Alexandria database describes a geometry-optimized Tm3Cu2Ni3 structure. The functional is PBE.

Cell and atoms, written as POSCAR:
```
Tm3Cu2Ni3
1.0
5.305 0.000 0.000
0.000 7.063 0.000
0.000 0.000 14.782
Tm Ni Cu
12 12 8
direct
0.864 0.531 0.603
0.864 0.531 0.897
0.383 0.671 0.750
0.364 0.969 0.397
0.136 0.469 0.103
0.617 0.329 0.250
0.636 0.031 0.603
0.136 0.469 0.397
0.883 0.829 0.250
0.117 0.171 0.750
0.636 0.031 0.897
0.364 0.969 0.103
0.123 0.185 0.250
0.586 0.321 0.469
0.914 0.821 0.031
0.377 0.685 0.250
0.914 0.821 0.469
0.586 0.321 0.031
0.086 0.179 0.531
0.414 0.679 0.969
0.414 0.679 0.531
0.877 0.815 0.750
0.086 0.179 0.969
0.623 0.315 0.750
0.866 0.118 0.388
0.366 0.382 0.888
0.134 0.882 0.888
0.366 0.382 0.612
0.866 0.118 0.112
0.134 0.882 0.612
0.634 0.618 0.112
0.634 0.618 0.388
```

Calculated values
The magnetization is 0.00 μB/cell.

=====

*B*
This record from the Alexandria database describes a geometry-optimized Tm3Cu2Ni3 structure. The functional is PBE.

Cell and atoms, written as POSCAR:
```
Tm3Cu2Ni3
1.0
3.978 0.000 0.000
-1.989 5.152 0.000
0.000 0.000 13.563
Ni Tm Cu
6 6 4
direct
0.651 0.302 0.750
0.603 0.206 0.040
0.397 0.794 0.960
0.603 0.206 0.460
0.397 0.794 0.540
0.349 0.698 0.250
0.916 0.833 0.107
0.639 0.277 0.250
0.084 0.167 0.607
0.361 0.723 0.750
0.084 0.167 0.893
0.916 0.833 0.393
0.214 0.428 0.405
0.786 0.572 0.595
0.214 0.428 0.095
0.786 0.572 0.905
```

Calculated values
The magnetization is 0.00 μB/cell.

=====

Most stable one: *B*, least stable one: *A*.

=====

*A*
This record from the Alexandria database describes a geometry-optimized Tm12CuNi6 structure. The functional is PBE.

Cell and atoms, written as POSCAR:
```
Tm12CuNi6
1.0
7.939 -0.177 -0.212
-1.379 7.821 -0.212
-1.379 -1.606 7.657
Tm Ni Cu
12 6 1
direct
0.673 0.917 0.057
0.566 0.175 0.412
0.917 0.057 0.673
0.825 0.588 0.434
0.412 0.566 0.175
0.057 0.673 0.917
0.083 0.943 0.327
0.175 0.412 0.566
0.943 0.327 0.083
0.434 0.825 0.588
0.588 0.434 0.825
0.327 0.083 0.943
0.619 0.315 0.138
0.138 0.619 0.315
0.315 0.138 0.619
0.381 0.685 0.862
0.862 0.381 0.685
0.685 0.862 0.381
0.000 0.000 0.000
```

Calculated values
The magnetization is 0.00 μB/cell.

=====

*B*
This record from the Alexandria database describes a geometry-optimized Tm12CuNi6 structure. The functional is PBE.

Cell and atoms, written as POSCAR:
```
Tm12CuNi6
1.0
7.740 0.000 -2.736
-3.870 6.703 -2.736
0.000 0.000 8.209
Tm Ni Cu
12 6 1
direct
0.700 0.886 0.186
0.814 0.700 0.515
0.814 0.300 0.114
0.114 0.814 0.300
0.186 0.700 0.886
0.485 0.186 0.300
0.515 0.814 0.700
0.300 0.485 0.186
0.700 0.515 0.814
0.186 0.300 0.485
0.300 0.114 0.814
0.886 0.186 0.700
0.626 0.500 0.126
0.126 0.626 0.500
0.874 0.374 0.500
0.374 0.500 0.874
0.500 0.126 0.626
0.500 0.874 0.374
0.000 0.000 0.000
```

Calculated values
The magnetization is 0.00 μB/cell.

=====

Most stable one: *B*, least stable one: *A*.

=====

*A*
This record from the Alexandria database describes a geometry-optimized TmCuNi4 structure. The functional is PBE.

Cell and atoms, written as POSCAR:
```
TmCuNi4
1.0
4.832 0.000 0.000
2.416 4.185 0.000
2.416 1.395 3.945
Ni Cu Tm
4 1 1
direct
0.626 0.122 0.626
0.122 0.626 0.626
0.626 0.626 0.626
0.626 0.626 0.122
0.000 0.000 0.000
0.250 0.250 0.250
```

Calculated values
The magnetization is 1.06 μB/cell.

=====

*B*
This record from the Alexandria database describes a geometry-optimized TmCuNi4 structure. The functional is PBE.

Cell and atoms, written as POSCAR:
```
TmCuNi4
1.0
-0.296 -2.662 2.630
5.466 1.188 1.818
-2.529 6.344 3.457
Ni Cu Tm
8 2 2
direct
0.664 0.557 0.327
0.927 0.250 0.854
0.664 0.943 0.327
0.500 0.500 0.000
0.336 0.443 0.673
0.336 0.057 0.673
0.073 0.750 0.146
0.500 0.000 0.000
0.235 0.750 0.469
0.765 0.250 0.531
0.890 0.750 0.781
0.110 0.250 0.219
```

Calculated values
The magnetization is 0.30 μB/cell.

=====

Most stable one: *A*, least stable one: *B*.

=====

*A*
This record from the Alexandria database describes a geometry-optimized Tm3CuNi structure. The functional is PBE.

Cell and atoms, written as POSCAR:
```
Tm3CuNi
1.0
-4.338 -3.913 0.265
0.429 -4.440 -3.782
2.461 -6.489 3.744
Tm Cu Ni
6 2 2
direct
0.694 0.694 0.667
0.991 0.991 0.239
0.311 0.311 0.857
0.306 0.306 0.333
0.009 0.009 0.761
0.689 0.689 0.143
0.302 0.698 0.500
0.698 0.302 0.500
0.305 0.695 0.000
0.695 0.305 0.000
```

Calculated values
The magnetization is 0.00 μB/cell.

=====

*B*
This record from the Alexandria database describes a geometry-optimized Tm3CuNi structure. The functional is PBE.

Cell and atoms, written as POSCAR:
```
Tm3CuNi
1.0
-2.082 2.965 1.457
-5.813 -3.534 -1.114
0.591 -3.446 7.853
Cu Tm Ni
2 6 2
direct
0.750 0.250 0.173
0.250 0.750 0.827
0.750 0.750 0.057
0.750 0.506 0.671
0.250 0.250 0.943
0.250 0.494 0.329
0.250 0.006 0.329
0.750 0.994 0.671
0.750 0.750 0.402
0.250 0.250 0.598
```

Calculated values
The magnetization is 0.00 μB/cell.

=====

Most stable one: *A*, least stable one: *B*.

=====

*A*
This record from the Alexandria database describes a geometry-optimized TmCu3Ni structure. The functional is PBE.

Cell and atoms, written as POSCAR:
```
TmCu3Ni
1.0
-0.552 -4.654 0.945
1.969 0.642 4.309
-7.857 3.474 0.421
Ni Cu Tm
2 6 2
direct
0.000 0.000 0.000
0.250 0.750 0.500
0.128 0.876 0.257
0.620 0.872 0.743
0.124 0.872 0.743
0.296 0.296 0.592
0.128 0.380 0.257
0.704 0.704 0.408
0.931 0.431 0.862
0.569 0.069 0.138
```

Calculated values
The magnetization is 0.00 μB/cell.

=====

*B*
This record from the Alexandria database describes a geometry-optimized TmCu3Ni structure. The functional is PBE.

Cell and atoms, written as POSCAR:
```
TmCu3Ni
1.0
-0.372 1.752 4.520
-4.361 -2.654 0.669
5.308 -3.297 1.715
Cu Tm Ni
6 2 2
direct
0.250 0.388 0.295
0.250 0.816 0.633
0.750 0.612 0.705
0.750 0.093 0.705
0.250 0.907 0.295
0.750 0.184 0.367
0.250 0.399 0.798
0.750 0.601 0.202
0.500 0.000 0.000
0.000 0.000 0.000
```

Calculated values
The magnetization is 0.00 μB/cell.

=====

Most stable one: *B*, least stable one: *A*.